Here is a relaxed BaMnTcO6 crystal from the Alexandria database. Energies are from PBE+U.

Computed properties:
Density, kg/m³: 4768
M_tot, μB per formula unit: 4.03
Electronic total energy, eV per cell: -65.37

a = 5.2111 Å, b = 5.2131 Å, c = 5.7169 Å
α = 90.03°, β = 90.06°, γ = 60.01°
Last column: nearest neighbours and their distance in Å.
Sites, in units of the cell vectors:
Ba1 0.0000 0.9999 0.0000  6 O 2.73
Mn1 0.6666 0.6668 0.5000  6 O 1.94
Tc1 0.3334 0.3332 0.5000  6 O 1.93
O1 0.0010 0.3999 0.3074  1 Tc 1.93, 1 Mn 1.94
O2 0.4003 0.0015 0.6928  1 Tc 1.93, 1 Mn 1.94
O3 0.5990 0.3999 0.6926  1 Tc 1.93, 1 Mn 1.94
O4 0.0018 0.5986 0.6926  1 Tc 1.93, 1 Mn 1.94
O5 0.3995 0.5986 0.3074  1 Tc 1.93, 1 Mn 1.94
O6 0.5981 0.0015 0.3072  1 Tc 1.93, 1 Mn 1.94